# MgTlIn2 | the Alexandria database | meta-GGA SCAN | single point on PBEsol structure
# DFT formation energy: -0.04 eV/f.u.
data_MgTlIn2
_space_group_name_H-M_alt 'R -3 m'
_space_group_IT_number 166
_space_group_name_Hall '-R 3 2"'
_cell_length_a 3.3135
_cell_length_b 3.3135
_cell_length_c 31.7929
_cell_angle_alpha 90.00
_cell_angle_beta 90.00
_cell_angle_gamma 120.00
loop_
_atom_site_label
_atom_site_type_symbol
_atom_site_fract_x
_atom_site_fract_y
_atom_site_fract_z
Mg1 Mg 0.0000 0.0000 0.0000
Tl1 Tl 0.0000 0.0000 0.5000
In1 In 0.0000 0.0000 0.2543